Sc2SnBr2: optimized geometry, GGA-PBE.

Unit cell a=8.085 b=8.085 c=3.508 alpha=90.00 beta=90.00 gamma=90.00
Positions (direct):
Sc: 0.346 0.846 0.000
Sc: 0.846 0.654 0.000
Sc: 0.654 0.154 0.000
Sc: 0.154 0.346 0.000
Sn: 0.000 0.000 0.000
Sn: 0.500 0.500 0.000
Br: 0.132 0.632 0.500
Br: 0.632 0.868 0.500
Br: 0.868 0.368 0.500
Br: 0.368 0.132 0.500

total energy = -23.26 eV per formula unit